Here is a geometry-optimized HfZrAs structure from the Alexandria database. Energies are from GGA-PBE.

V	21.566	Å³ per atom
energy of formation from the pure elements	-44	kJ/mol of atoms
space group	No. 166

Lattice parameters (Å, degrees): 4.5134 4.5134 7.7839 73.15 73.15 60.00
Fractional positions:
As 0.2481 0.2481 0.2558
As 0.7519 0.7519 0.7442
Zr 0.3749 0.3749 0.8754
Zr 0.6251 0.6251 0.1246
Hf 0.8755 0.8755 0.3734
Hf 0.1245 0.1245 0.6266